DFT (GGA-PBE) results for a relaxed PuNbRu2 crystal.

Summary:
- Total DFT energy (no corrections): -10.82 eV per atom
- Fermi-level density of states: 2.3369 states/eV/atom
- Symmetry: No. 123
- Total magnetic moment: 4.33 μB/f.u.
- Energy of formation from the pure elements: -0.0832 eV/atom

abc: 3.1604 4.7139 4.7139
angles: 90.00 90.00 90.00
Element x y z (fractional)
Ru: 0.0000 0.5000 0.0000
Ru: 0.0000 0.0000 0.5000
Pu: 0.5000 0.5000 0.5000
Nb: 0.5000 0.0000 0.0000


DFT (GGA-PBE) results for a relaxed NaAcNdTl crystal.

Summary:
- Total DFT energy (no corrections): -3.23 eV per atom
- Fermi-level density of states: 1.2442 states/eV/atom
- Symmetry: No. 216
- Total magnetic moment: 0.00 μB/f.u.
- Energy of formation from the pure elements: -0.0880 eV/atom

abc: 5.7314 5.7314 5.7314
angles: 60.00 60.00 60.00
Element x y z (fractional)
Nd: 0.5000 0.5000 0.5000
Tl: 0.7500 0.7500 0.7500
Na: 0.2500 0.2500 0.2500
Ac: 0.0000 0.0000 0.0000


DFT (GGA-PBE) results for a relaxed LaDy2HoS6 crystal.

Summary:
- Total DFT energy (no corrections): -6.43 eV per atom
- Fermi-level density of states: 0.0000 states/eV/atom
- Symmetry: No. 146
- Formation energy without anion corrections: -2079 meV/atom
- Total magnetic moment: 0.00 μB/f.u.

abc: 7.0149 7.0150 7.3939
angles: 61.68 61.68 60.00
Element x y z (fractional)
Dy: 0.5190 0.5190 0.4430
S: 0.1404 0.3901 0.7484
S: 0.6138 0.2234 0.2465
Ho: 0.3162 0.3161 0.0515
S: 0.7211 0.1404 0.7484
S: 0.2234 0.9162 0.2465
S: 0.9163 0.6138 0.2466
La: 0.8073 0.8073 0.5780
S: 0.3900 0.7212 0.7483
Dy: 0.0140 0.0141 0.9579


DFT (GGA-PBE) results for a relaxed AcHoAg2Se4 crystal.

Summary:
- Total DFT energy (no corrections): -4.67 eV per atom
- Fermi-level density of states: 0.0071 states/eV/atom
- Symmetry: No. 23
- Formation energy without anion corrections: -1131 meV/atom
- Total magnetic moment: 0.00 μB/f.u.

abc: 7.1177 6.6195 6.6195
angles: 67.57 57.48 57.48
Element x y z (fractional)
Ho: 0.5000 0.5000 0.5000
Se: 0.0983 0.9067 0.4585
Ag: 0.8309 0.6691 0.6691
Se: 0.4635 0.0933 0.5415
Se: 0.5365 0.4585 0.9067
Se: 0.9017 0.5415 0.0933
Ac: 0.0000 0.0000 0.0000
Ag: 0.1691 0.3309 0.3309


DFT (GGA-PBE) results for a relaxed Tb3Tm4Te8 crystal.

Summary:
- Total DFT energy (no corrections): -5.12 eV per atom
- Fermi-level density of states: 0.4378 states/eV/atom
- Symmetry: No. 12
- Formation energy without anion corrections: -1322 meV/atom
- Total magnetic moment: 0.00 μB/f.u.

abc: 8.6394 8.6377 8.6377
angles: 90.02 119.98 119.98
Element x y z (fractional)
Te: 0.0000 0.7460 0.2540
Tm: 0.5000 0.0000 0.0000
Tm: 0.0000 0.0000 0.5000
Te: 0.5000 0.2480 0.7520
Te: 0.5000 0.7520 0.2480
Tm: 0.0000 0.0000 0.0000
Tb: 0.5000 0.0000 0.5000
Tb: 0.5000 0.5000 0.5000
Te: 0.4923 0.7481 0.7481
Tm: 0.0000 0.5000 0.0000
Te: 0.0039 0.7479 0.7479
Tb: 0.5000 0.5000 0.0000
Te: 0.5077 0.2519 0.2519
Te: 0.0000 0.2540 0.7460
Te: 0.9961 0.2521 0.2521


DFT (GGA-PBE) results for a relaxed Li2LaPtO4 crystal.

Summary:
- Total DFT energy (no corrections): -6.13 eV per atom
- Fermi-level density of states: 0.7241 states/eV/atom
- Symmetry: No. 12
- Formation energy without anion corrections: -1798 meV/atom
- Total magnetic moment: 0.00 μB/f.u.

abc: 5.5961 5.5042 5.5042
angles: 75.42 50.79 50.79
Element x y z (fractional)
Li: 0.5000 0.2808 0.7192
O: 0.9652 0.8112 0.6862
Pt: 0.0000 0.5625 0.4375
O: 0.4999 0.0625 0.4375
La: 0.0000 0.0625 0.9375
O: 0.5001 0.5625 0.9375
Li: 0.5000 0.8442 0.1558
O: 0.0348 0.3138 0.1888